# BaZrOsN2 | the Alexandria database | GGA-PBEsol | relaxed
data_BaZrOsN2
_chemical_formula_sum 'Ba1 Zr1 Os1 N2'
_symmetry_space_group_name_H-M 'P 1'
_symmetry_Int_Tables_number 1
_symmetry_space_group_name_Hall 'P 1'
_cell_length_a 4.231
_cell_length_b 4.231
_cell_length_c 5.375
_cell_angle_alpha 90.00
_cell_angle_beta 90.00
_cell_angle_gamma 90.00
loop_
_atom_site_label
_atom_site_fract_x
_atom_site_fract_y
_atom_site_fract_z
_atom_site_occupancy
Ba1 0.000 0.000 0.000 1
Zr1 0.500 0.500 0.500 1
Os1 0.000 0.000 0.500 1
N1 0.000 0.500 0.000 1
N2 0.500 0.000 0.000 1
# E_form (uncorrected) (eV per formula unit): 11.62
# Symmetry: P4/mmm (123)
# Density of states at the Fermi level (states/eV per cell): 5.0



# BaP2N4 | the Alexandria database | GGA-PBEsol | relaxed
data_BaP2N4
_chemical_formula_sum 'Ba12 P24 N48'
_symmetry_space_group_name_H-M 'P 1'
_symmetry_Int_Tables_number 1
_symmetry_space_group_name_Hall 'P 1'
_cell_length_a 10.241
_cell_length_b 10.241
_cell_length_c 10.241
_cell_angle_alpha 90.00
_cell_angle_beta 90.00
_cell_angle_gamma 90.00
loop_
_atom_site_label
_atom_site_fract_x
_atom_site_fract_y
_atom_site_fract_z
_atom_site_occupancy
Ba1 0.000 0.000 0.000 1
Ba2 0.000 0.500 0.500 1
Ba3 0.132 0.632 0.868 1
Ba4 0.132 0.868 0.368 1
Ba5 0.368 0.132 0.868 1
Ba6 0.368 0.368 0.368 1
Ba7 0.500 0.000 0.500 1
Ba8 0.500 0.500 0.000 1
Ba9 0.632 0.632 0.632 1
Ba10 0.632 0.868 0.132 1
Ba11 0.868 0.132 0.632 1
Ba12 0.868 0.368 0.132 1
P1 0.108 0.186 0.335 1
P2 0.108 0.314 0.835 1
P3 0.165 0.608 0.186 1
P4 0.165 0.892 0.686 1
P5 0.186 0.165 0.608 1
P6 0.186 0.335 0.108 1
P7 0.314 0.665 0.608 1
P8 0.314 0.835 0.108 1
P9 0.335 0.108 0.186 1
P10 0.335 0.392 0.686 1
P11 0.392 0.686 0.335 1
P12 0.392 0.814 0.835 1
P13 0.608 0.186 0.165 1
P14 0.608 0.314 0.665 1
P15 0.665 0.608 0.314 1
P16 0.665 0.892 0.814 1
P17 0.686 0.165 0.892 1
P18 0.686 0.335 0.392 1
P19 0.814 0.665 0.892 1
P20 0.814 0.835 0.392 1
P21 0.835 0.108 0.314 1
P22 0.835 0.392 0.814 1
P23 0.892 0.686 0.165 1
P24 0.892 0.814 0.665 1
N1 0.009 0.591 0.220 1
N2 0.009 0.909 0.720 1
N3 0.091 0.220 0.491 1
N4 0.091 0.280 0.991 1
N5 0.112 0.178 0.751 1
N6 0.112 0.322 0.251 1
N7 0.178 0.749 0.612 1
N8 0.178 0.751 0.112 1
N9 0.220 0.009 0.591 1
N10 0.220 0.491 0.091 1
N11 0.249 0.612 0.322 1
N12 0.249 0.888 0.822 1
N13 0.251 0.112 0.322 1
N14 0.251 0.388 0.822 1
N15 0.280 0.509 0.591 1
N16 0.280 0.991 0.091 1
N17 0.322 0.249 0.612 1
N18 0.322 0.251 0.112 1
N19 0.388 0.678 0.751 1
N20 0.388 0.822 0.251 1
N21 0.409 0.720 0.491 1
N22 0.409 0.780 0.991 1
N23 0.491 0.091 0.220 1
N24 0.491 0.409 0.720 1
N25 0.509 0.591 0.280 1
N26 0.509 0.909 0.780 1
N27 0.591 0.220 0.009 1
N28 0.591 0.280 0.509 1
N29 0.612 0.178 0.749 1
N30 0.612 0.322 0.249 1
N31 0.678 0.749 0.888 1
N32 0.678 0.751 0.388 1
N33 0.720 0.009 0.909 1
N34 0.720 0.491 0.409 1
N35 0.749 0.612 0.178 1
N36 0.749 0.888 0.678 1
N37 0.751 0.112 0.178 1
N38 0.751 0.388 0.678 1
N39 0.780 0.509 0.909 1
N40 0.780 0.991 0.409 1
N41 0.822 0.249 0.888 1
N42 0.822 0.251 0.388 1
N43 0.888 0.678 0.749 1
N44 0.888 0.822 0.249 1
N45 0.909 0.720 0.009 1
N46 0.909 0.780 0.509 1
N47 0.991 0.091 0.280 1
N48 0.991 0.409 0.780 1
# E_form (uncorrected) (eV per formula unit): -7.06
# Symmetry: Pa-3 (205)
# Density of states at the Fermi level (states/eV per cell): 0.0



# BaPN2 | the Alexandria database | GGA-PBEsol | relaxed
data_BaPN2
_chemical_formula_sum 'Ba3 P3 N6'
_symmetry_space_group_name_H-M 'P 1'
_symmetry_Int_Tables_number 1
_symmetry_space_group_name_Hall 'P 1'
_cell_length_a 4.344
_cell_length_b 4.344
_cell_length_c 16.911
_cell_angle_alpha 90.00
_cell_angle_beta 90.00
_cell_angle_gamma 120.00
loop_
_atom_site_label
_atom_site_fract_x
_atom_site_fract_y
_atom_site_fract_z
_atom_site_occupancy
Ba1 0.000 0.000 0.000 1
Ba2 0.333 0.667 0.667 1
Ba3 0.667 0.333 0.333 1
P1 0.000 0.000 0.500 1
P2 0.333 0.667 0.167 1
P3 0.667 0.333 0.833 1
N1 0.000 0.000 0.409 1
N2 0.000 0.000 0.591 1
N3 0.333 0.667 0.075 1
N4 0.333 0.667 0.258 1
N5 0.667 0.333 0.742 1
N6 0.667 0.333 0.925 1
# E_form (uncorrected) (eV per formula unit): -1.38
# Symmetry: R-3m (166)
# Density of states at the Fermi level (states/eV per cell): 4.1



- Which of these has the highest density of states at the Fermi level?
  BaZrOsN2



- The highest E_form (uncorrected) belongs to which entry?
  BaZrOsN2



- Which value of density of states at the Fermi level does entry 3 give?
  4.1 states/eV per cell



- Look up the density of states at the Fermi level of the second one.
  0.0 states/eV per cell